No. 1
Computed, not measured: Al2SbTe after structural relaxation at the PBE level of DFT. Values from VASP.

Output
- uncorrected formation energy (eV per formula unit) = -0.4

Geometry as Quantum ESPRESSO input:
```
&SYSTEM
  ibrav = 0, nat = 4, ntyp = 3
/
ATOMIC_SPECIES
Al 26.98 Al.upf
Sb 121.76 Sb.upf
Te 127.60 Te.upf
CELL_PARAMETERS angstrom
4.117 0.000 0.000
0.000 4.120 0.000
0.000 0.000 5.761
ATOMIC_POSITIONS crystal
Al 0.000 0.000 0.875
Al 0.500 0.500 0.375
Sb 0.000 0.000 0.375
Te 0.500 0.500 0.875
```


No. 2
Computed, not measured: TaSb2Ru after structural relaxation at the PBE level of DFT. Values from VASP.

Output
- uncorrected formation energy (eV per formula unit) = -0.3

Geometry as Quantum ESPRESSO input:
```
&SYSTEM
  ibrav = 0, nat = 4, ntyp = 3
/
ATOMIC_SPECIES
Ta 180.95 Ta.upf
Ru 101.07 Ru.upf
Sb 121.76 Sb.upf
CELL_PARAMETERS angstrom
3.086 0.003 0.000
-0.003 3.086 0.000
0.000 0.000 9.196
ATOMIC_POSITIONS crystal
Ta 0.000 0.000 0.545
Ru 0.500 0.500 0.727
Sb 0.000 0.000 0.921
Sb 0.500 0.500 0.307
```


No. 3
Computed, not measured: KBa6 after structural relaxation at the PBE level of DFT. Values from VASP.

Output
- formation energy from the elements (eV/atom) = 0.806

Geometry as Quantum ESPRESSO input:
```
&SYSTEM
  ibrav = 0, nat = 7, ntyp = 2
/
ATOMIC_SPECIES
Ba 137.33 Ba.upf
K 39.10 K.upf
CELL_PARAMETERS angstrom
-4.016 7.179 -2.554
-4.150 -6.875 -3.116
0.069 -0.345 8.606
ATOMIC_POSITIONS crystal
Ba 0.250 0.750 0.500
Ba 0.250 0.500 0.750
Ba 0.750 0.250 0.500
Ba 0.500 0.250 0.750
Ba 0.750 0.500 0.250
Ba 0.500 0.750 0.250
K 0.000 0.000 0.000
```


Copy entry 3 word for word.
Computed, not measured: KBa6 after structural relaxation at the PBE level of DFT. Values from VASP.

Output
- formation energy from the elements (eV/atom) = 0.806

Geometry as Quantum ESPRESSO input:
```
&SYSTEM
  ibrav = 0, nat = 7, ntyp = 2
/
ATOMIC_SPECIES
Ba 137.33 Ba.upf
K 39.10 K.upf
CELL_PARAMETERS angstrom
-4.016 7.179 -2.554
-4.150 -6.875 -3.116
0.069 -0.345 8.606
ATOMIC_POSITIONS crystal
Ba 0.250 0.750 0.500
Ba 0.250 0.500 0.750
Ba 0.750 0.250 0.500
Ba 0.500 0.250 0.750
Ba 0.750 0.500 0.250
Ba 0.500 0.750 0.250
K 0.000 0.000 0.000
```